[1]
Density functional theory data (PBE) for a relaxed Pr4BI5 crystal.

Computed properties:
Its total DFT energy (no corrections) is -4.455 eV per atom. For the calculated volume, the calculation gives 36.5 Å³ per atom. The crystal system is monoclinic.

Lattice parameters (Å, degrees): 10.033 10.033 9.013 102.54 102.54 24.35
Fractional positions:
Pr 0.001 0.001 0.298
Pr 0.360 0.360 0.428
Pr 0.640 0.640 0.572
Pr 0.999 0.999 0.702
B 0.500 0.500 0.500
I 0.166 0.166 0.844
I 0.172 0.172 0.324
I 0.500 0.500 0.000
I 0.828 0.828 0.676
I 0.834 0.834 0.156

---

[2]
Density functional theory data (PBE) for a relaxed AcIn2I5 crystal.

Computed properties:
Its total DFT energy (no corrections) is -3.183 eV per atom. For the calculated volume, the calculation gives 42.5 Å³ per atom. The crystal system is orthorhombic.

Lattice parameters (Å, degrees): 14.479 10.070 9.335 90.00 90.00 90.00
Fractional positions:
Ac 0.004 0.250 0.087
Ac 0.496 0.750 0.587
Ac 0.504 0.250 0.413
Ac 0.996 0.750 0.913
In 0.178 0.513 0.537
In 0.178 0.987 0.537
In 0.322 0.013 0.037
In 0.322 0.487 0.037
In 0.678 0.513 0.963
In 0.678 0.987 0.963
In 0.822 0.013 0.463
In 0.822 0.487 0.463
I 0.003 0.250 0.445
I 0.086 0.548 0.169
I 0.086 0.952 0.169
I 0.187 0.250 0.870
I 0.218 0.750 0.825
I 0.282 0.250 0.325
I 0.313 0.750 0.370
I 0.414 0.048 0.669
I 0.414 0.452 0.669
I 0.497 0.750 0.945
I 0.503 0.250 0.055
I 0.586 0.548 0.331
I 0.586 0.952 0.331
I 0.687 0.250 0.630
I 0.718 0.750 0.675
I 0.782 0.250 0.175
I 0.813 0.750 0.130
I 0.914 0.048 0.831
I 0.914 0.452 0.831
I 0.997 0.750 0.555

---

Question: Among the records above, which one has the lowest calculated volume?
Answer: Pr4BI5

---

Question: Which of these has the lowest total DFT energy (no corrections)?
Answer: Pr4BI5

---

Question: Which value of total DFT energy (no corrections) does entry 1 give?
Answer: -4.455 eV per atom

---

Question: Number 2 is which compound?
Answer: AcIn2I5